# 1
## Ca3Ac4Pd4 (PBE-GGA)

Data for a relaxed Ca3Ac4Pd4 crystal.

Results
Its space group is Immm (71). Its formation energy is -521 kJ/mol of formula units.

extended XYZ file:
```
11
Lattice="-2.160 5.186 7.721 2.160 -5.186 7.721 2.160 5.186 -7.721" Properties=species:S:1:pos:R:3 pbc="T T T"
Ca 0.000 0.000 0.000
Ca 2.160 0.000 5.961
Ca 0.000 5.186 1.760
Ac 2.160 1.997 -2.339
Ac 2.160 1.997 2.339
Ac 0.000 3.189 5.382
Ac 0.000 3.189 10.060
Pd 0.000 0.000 3.385
Pd 2.160 3.815 0.000
Pd 0.000 1.371 7.721
Pd 0.000 0.000 12.057
```

---

# 2
## ErUC (PBE-GGA)

Data for a relaxed ErUC crystal.

Results
Its energy above the most stable polymorph in this dataset is 0 meV per atom. Its space group is P3m1 (156). Its formation energy is -10 kJ/mol of formula units.

extended XYZ file:
```
3
Lattice="3.362 0.000 0.000 -1.681 2.911 0.000 0.000 0.000 6.153" Properties=species:S:1:pos:R:3 pbc="T T T"
Er 0.000 0.000 0.000
U 1.681 0.970 3.313
C 0.000 1.941 4.656
```